No. 1
Density functional theory data (PBE) for an optimized crystal structure of SrSc2Pt2.

The space group is I4/mmm (No. 139) and the conventional cell measures 4.9470, 4.9470 and 10.4958 Å, with angles of 90.00, 90.00 and 90.00 degrees. Symmetry generates all atoms from Sr at (0.0000, 0.0000, 0.0000), Sc at (0.0000, 0.0000, 0.3421) and Pt at (0.0000, 0.5000, 0.2500).

Its total moment is 0.51 μB per formula unit. For the calculated total energy, the calculation gives -6.004 eV/atom.

---

No. 2
Density functional theory data (PBE) for an optimized crystal structure of SrSc2Pt.

The space group is P2/m (No. 10) and the conventional cell measures 3.4012, 3.4720 and 8.9730 Å, with angles of 90.00, 90.10 and 90.00 degrees. Symmetry generates all atoms from Sr at (0.0000, 0.0000, 0.0000), Sc at (0.4991, 0.5000, 0.3339) and Pt at (0.0000, 0.0000, 0.5000).

Its total moment is 0.00 μB per formula unit. For the calculated total energy, the calculation gives -5.543 eV/atom.